Computed, not measured: a relaxed Be2GaI crystal at the GGA-PBEsol level of DFT.

Cell and atoms, written as POSCAR:
```
Be2GaI
1.0
4.564 0.000 0.000
2.282 3.952 0.000
2.282 1.317 3.726
I Be Ga
1 2 1
Direct
0.500 0.500 0.500
0.250 0.250 0.250
0.750 0.750 0.750
0.000 0.000 0.000
```

Calculated values
Formation energy from raw total energies, kJ/mol of atoms: 94.26
Calculated density, g/cm³: 5.30
N(E_F), states/eV/f.u.: 2.11
Total moment, μB per atom: 0.000
DFT total energy, eV per cell: -9.20